# 1
DFT (PBE-GGA) results for crystalline ZrNi2C at its relaxed geometry.

Computed properties:
Energy of formation ... 0.283 eV per atom
Mass density ... 6.5 g/cm3
Final energy ... -7.051 eV/atom

Unit cell a=5.5461 b=5.5461 c=7.3829 alpha=90.00 beta=90.00 gamma=90.00
Closest atoms and distances in Å follow each position.
Fractional coordinates of all 16 atoms:
Zr (0.0000, 0.0000, 0.0000)  4 Ni 2.68
Zr (0.0000, 0.5000, 0.2500)  4 Ni 2.68
Zr (0.5000, 0.0000, 0.7500)  4 Ni 2.68
Zr (0.5000, 0.5000, 0.5000)  4 Ni 2.68
Ni (0.1218, 0.2500, 0.6250)  2 C 1.80
Ni (0.2500, 0.6218, 0.8750)  2 C 1.80
Ni (0.2500, 0.8782, 0.3750)  2 C 1.80
Ni (0.3782, 0.2500, 0.1250)  2 C 1.80
Ni (0.6218, 0.7500, 0.1250)  2 C 1.80
Ni (0.7500, 0.1218, 0.3750)  2 C 1.80
Ni (0.7500, 0.3782, 0.8750)  2 C 1.80
Ni (0.8782, 0.7500, 0.6250)  2 C 1.80
C (0.0000, 0.0000, 0.5000)  4 Ni 1.80
C (0.0000, 0.5000, 0.7500)  4 Ni 1.80
C (0.5000, 0.0000, 0.2500)  4 Ni 1.80
C (0.5000, 0.5000, 0.0000)  4 Ni 1.80

***

# 2
DFT (PBE-GGA) results for crystalline SmZnIr2 at its relaxed geometry.

Computed properties:
Energy of formation ... 0.067 eV per atom
Mass density ... 11.1 g/cm3
Final energy ... -5.862 eV/atom

Unit cell a=7.4120 b=5.8331 c=8.3193 alpha=90.00 beta=90.00 gamma=90.00
Closest atoms and distances in Å follow each position.
Fractional coordinates of all 16 atoms:
Sm (0.2500, 0.0000, 0.1412)  2 Zn 2.94, 2 Ir 2.96
Sm (0.2500, 0.5000, 0.7583)  4 Ir 2.73-2.96, 2 Zn 2.93
Sm (0.7500, 0.0000, 0.8588)  2 Zn 2.94, 2 Ir 2.96
Sm (0.7500, 0.5000, 0.2417)  4 Ir 2.73-2.96, 2 Zn 2.93
Zn (0.2500, 0.0000, 0.7262)  4 Ir 2.64-2.88, 2 Sm 2.93
Zn (0.2500, 0.5000, 0.1892)  4 Ir 2.43-2.46
Zn (0.7500, 0.0000, 0.2738)  4 Ir 2.64-2.88, 2 Sm 2.93
Zn (0.7500, 0.5000, 0.8108)  4 Ir 2.43-2.46
Ir (0.0000, 0.0000, 0.5000)  4 Ir 2.51, 2 Zn 2.64
Ir (0.0000, 0.5000, 0.0000)  2 Zn 2.43
Ir (0.2500, 0.2765, 0.4396)  1 Zn 2.46, 3 Ir 2.51-2.61
Ir (0.2500, 0.7235, 0.4396)  1 Zn 2.46, 3 Ir 2.51-2.61
Ir (0.5000, 0.0000, 0.5000)  4 Ir 2.51, 2 Zn 2.64
Ir (0.5000, 0.5000, 0.0000)  2 Zn 2.43
Ir (0.7500, 0.2765, 0.5604)  1 Zn 2.46, 3 Ir 2.51-2.61
Ir (0.7500, 0.7235, 0.5604)  1 Zn 2.46, 3 Ir 2.51-2.61

***

# 3
DFT (PBE-GGA) results for crystalline CePrY2Er at its relaxed geometry.

Computed properties:
Energy of formation ... 0.280 eV per atom
Mass density ... 6.2 g/cm3
Final energy ... -5.361 eV/atom

Unit cell a=5.8647 b=7.7035 c=7.3930 alpha=90.00 beta=90.00 gamma=90.00
Closest atoms and distances in Å follow each position.
Fractional coordinates of all 10 atoms:
Ce (0.0000, 0.0000, 0.0000)  2 Ce 2.93, 2 Er 3.17
Ce (0.5000, 0.0000, 0.0000)  2 Ce 2.93, 2 Er 3.17
Pr (0.2500, 0.5000, 0.1607)  6 Y 3.58-3.97, 2 Pr 3.77
Pr (0.7500, 0.5000, 0.8393)  6 Y 3.58-3.97, 2 Pr 3.77
Y (0.2500, 0.2870, 0.6719)  1 Er 3.09, 1 Y 3.28
Y (0.2500, 0.7130, 0.6719)  1 Er 3.09, 1 Y 3.28
Y (0.7500, 0.2870, 0.3281)  1 Er 3.09, 1 Y 3.28
Y (0.7500, 0.7130, 0.3281)  1 Er 3.09, 1 Y 3.28
Er (0.2500, 0.0000, 0.3796)  2 Y 3.09, 2 Ce 3.17, 2 Er 3.43
Er (0.7500, 0.0000, 0.6204)  2 Y 3.09, 2 Ce 3.17, 2 Er 3.43

***

# 4
DFT (PBE-GGA) results for crystalline Ac6Ir2BrCl3 at its relaxed geometry.

Computed properties:
Mass density ... 8.0 g/cm3
Final energy ... -5.403 eV/atom
ΔE_f (raw) ... -1.271 eV/atom

Unit cell a=10.9597 b=10.9597 c=8.8220 alpha=99.88 beta=99.88 gamma=22.75
Closest atoms and distances in Å follow each position.
Fractional coordinates of all 12 atoms:
Ac (0.0346, 0.0346, 0.2796)  1 Ir 2.96, 3 Cl 3.08-3.16, 2 Br 3.27
Ac (0.3183, 0.3183, 0.4315)  3 Ir 3.00-3.06
Ac (0.3266, 0.3266, 0.8966)  2 Ir 2.94
Ac (0.6734, 0.6734, 0.1034)  2 Ir 2.94
Ac (0.6817, 0.6817, 0.5685)  3 Ir 3.00-3.06
Ac (0.9654, 0.9654, 0.7204)  1 Ir 2.96, 3 Cl 3.08-3.16, 2 Br 3.27
Ir (0.1747, 0.1747, 0.3300)  6 Ac 2.94-3.06
Ir (0.8253, 0.8253, 0.6700)  6 Ac 2.94-3.06
Br (0.5000, 0.5000, 0.0000)  4 Ac 3.27
Cl (0.1146, 0.1146, 0.8051)  5 Ac 3.16-3.49
Cl (0.5000, 0.5000, 0.5000)  4 Ac 3.08
Cl (0.8854, 0.8854, 0.1949)  5 Ac 3.16-3.49

***

# 5
DFT (PBE-GGA) results for crystalline TlTeAu at its relaxed geometry.

Computed properties:
Mass density ... 10.0 g/cm3
Final energy ... -3.007 eV/atom
ΔE_f (raw) ... -0.078 eV/atom

Unit cell a=7.0549 b=7.0549 c=7.0549 alpha=90.00 beta=90.00 gamma=90.00
Closest atoms and distances in Å follow each position.
Fractional coordinates of all 12 atoms:
Tl (0.0000, 0.0000, 0.0000)  4 Au 3.05
Tl (0.0000, 0.5000, 0.5000)  4 Au 3.05
Tl (0.5000, 0.0000, 0.5000)  4 Au 3.05
Tl (0.5000, 0.5000, 0.0000)  4 Au 3.05
Te (0.0000, 0.0000, 0.5000)  4 Au 3.05
Te (0.0000, 0.5000, 0.0000)  4 Au 3.05
Te (0.5000, 0.0000, 0.0000)  4 Au 3.05
Te (0.5000, 0.5000, 0.5000)  4 Au 3.05
Au (0.2500, 0.2500, 0.7500)  4 Tl 3.05, 4 Te 3.05
Au (0.2500, 0.7500, 0.2500)  4 Tl 3.05, 4 Te 3.05
Au (0.7500, 0.2500, 0.2500)  4 Tl 3.05, 4 Te 3.05
Au (0.7500, 0.7500, 0.7500)  4 Tl 3.05, 4 Te 3.05

***

# 6
DFT (PBE-GGA) results for crystalline Ac8Hg4Ir3Au at its relaxed geometry.

Computed properties:
Energy of formation ... -0.620 eV per atom
Mass density ... 10.3 g/cm3
Final energy ... -4.616 eV/atom

Unit cell a=9.6020 b=9.6020 c=9.6020 alpha=54.57 beta=54.57 gamma=54.57
Closest atoms and distances in Å follow each position.
Fractional coordinates of all 16 atoms:
Ac (0.2190, 0.7436, 0.7436)  2 Ir 3.00, 1 Au 3.15
Ac (0.2341, 0.2341, 0.2341)  3 Ir 3.03
Ac (0.2564, 0.2564, 0.7810)  2 Ir 3.00, 1 Au 3.15
Ac (0.2564, 0.7810, 0.2564)  2 Ir 3.00, 1 Au 3.15
Ac (0.7436, 0.2190, 0.7436)  2 Ir 3.00, 1 Au 3.15
Ac (0.7436, 0.7436, 0.2190)  2 Ir 3.00, 1 Au 3.15
Ac (0.7659, 0.7659, 0.7659)  3 Ir 3.03
Ac (0.7810, 0.2564, 0.2564)  2 Ir 3.00, 1 Au 3.15
Hg (0.0000, 0.0000, 0.0000)  6 Ac 3.40
Hg (0.0000, 0.5000, 0.5000)  6 Ac 3.51-3.54
Hg (0.5000, 0.0000, 0.5000)  6 Ac 3.51-3.54
Hg (0.5000, 0.5000, 0.0000)  6 Ac 3.51-3.54
Ir (0.0000, 0.0000, 0.5000)  6 Ac 3.00-3.03
Ir (0.0000, 0.5000, 0.0000)  6 Ac 3.00-3.03
Ir (0.5000, 0.0000, 0.0000)  6 Ac 3.00-3.03
Au (0.5000, 0.5000, 0.5000)  6 Ac 3.15

***

# 7
DFT (PBE-GGA) results for crystalline Pr3Cd9Pd2 at its relaxed geometry.

Computed properties:
Energy of formation ... -0.360 eV per atom
Mass density ... 8.2 g/cm3
Final energy ... -2.714 eV/atom

Unit cell a=8.6789 b=8.6789 c=8.6789 alpha=147.09 beta=106.54 gamma=82.86
Closest atoms and distances in Å follow each position.
Fractional coordinates of all 14 atoms:
Pr (0.0000, 0.0000, 0.0000)  12 Cd 3.39-3.40
Pr (0.2999, 0.2999, 0.0000)  2 Pd 3.05
Pr (0.7001, 0.7001, 0.0000)  2 Pd 3.05
Cd (0.0057, 0.6426, 0.3631)  4 Cd 2.84-3.03, 1 Pd 2.86
Cd (0.1468, 0.8661, 0.2807)  4 Cd 2.87-3.03, 2 Pd 3.09
Cd (0.2795, 0.6426, 0.6369)  4 Cd 2.84-3.03, 1 Pd 2.86
Cd (0.4146, 0.1339, 0.2807)  4 Cd 2.87-3.03, 2 Pd 3.09
Cd (0.5000, 0.0000, 0.5000)  4 Cd 2.87, 4 Pd 2.93
Cd (0.5854, 0.8661, 0.7193)  4 Cd 2.87-3.03, 2 Pd 3.09
Cd (0.7205, 0.3574, 0.3631)  4 Cd 2.84-3.03, 1 Pd 2.86
Cd (0.8532, 0.1339, 0.7193)  4 Cd 2.87-3.03, 2 Pd 3.09
Cd (0.9943, 0.3574, 0.6369)  4 Cd 2.84-3.03, 1 Pd 2.86
Pd (0.3464, 0.5000, 0.8464)  8 Cd 2.86-3.09, 2 Pr 3.05, 1 Pd 3.19
Pd (0.6536, 0.5000, 0.1536)  8 Cd 2.86-3.09, 2 Pr 3.05, 1 Pd 3.19

***

# 8
DFT (PBE-GGA) results for crystalline TiCoSCl2 at its relaxed geometry.

Computed properties:
Mass density ... 3.8 g/cm3
Final energy ... -4.534 eV/atom
Energy relative to the lowest polymorph listed for this composition ... 0.1879 eV/atom
ΔE_f (raw) ... 0.031 eV/atom

Unit cell a=4.4356 b=4.4356 c=4.5991 alpha=90.00 beta=90.00 gamma=90.00
Closest atoms and distances in Å follow each position.
Fractional coordinates of all 5 atoms:
Ti (0.0000, 0.0000, 0.0000)  4 S 3.14, 8 Cl 3.19
Co (0.5000, 0.5000, 0.5000)  4 Cl 2.22, 2 S 2.30
S (0.5000, 0.5000, 0.0000)  2 Co 2.30
Cl (0.0000, 0.5000, 0.5000)  2 Co 2.22
Cl (0.5000, 0.0000, 0.5000)  2 Co 2.22

***

# 9
DFT (PBE-GGA) results for crystalline PmPbO3 at its relaxed geometry.

Computed properties:
Mass density ... 8.0 g/cm3
Final energy ... -6.731 eV/atom
ΔE_f (raw) ... -2.064 eV/atom

Unit cell a=6.7189 b=6.5508 c=7.5399 alpha=90.00 beta=93.96 gamma=90.00
Closest atoms and distances in Å follow each position.
Fractional coordinates of all 20 atoms:
Pm (0.1421, 0.1797, 0.1683)  6 O 2.29-2.52
Pm (0.1421, 0.3203, 0.6683)  6 O 2.29-2.52
Pm (0.8579, 0.6797, 0.3317)  6 O 2.29-2.52
Pm (0.8579, 0.8203, 0.8317)  6 O 2.29-2.52
Pb (0.3931, 0.7235, 0.0697)  6 O 2.27-2.54
Pb (0.3931, 0.7765, 0.5697)  6 O 2.27-2.54
Pb (0.6069, 0.2235, 0.4303)  6 O 2.27-2.54
Pb (0.6069, 0.2765, 0.9303)  6 O 2.27-2.54
O (0.0489, 0.6554, 0.6304)  3 Pm 2.29-2.52, 1 Pb 2.52
O (0.0489, 0.8446, 0.1304)  3 Pm 2.29-2.52, 1 Pb 2.52
O (0.2754, 0.0878, 0.4698)  2 Pb 2.30-2.44, 2 Pm 2.36-2.46
O (0.2754, 0.4122, 0.9698)  2 Pb 2.30-2.44, 2 Pm 2.36-2.46
O (0.4984, 0.5797, 0.3334)  3 Pb 2.27-2.54, 1 Pm 2.50
O (0.4984, 0.9203, 0.8334)  3 Pb 2.27-2.54, 1 Pm 2.50
O (0.5016, 0.0797, 0.1666)  3 Pb 2.27-2.54, 1 Pm 2.50
O (0.5016, 0.4203, 0.6666)  3 Pb 2.27-2.54, 1 Pm 2.50
O (0.7246, 0.5878, 0.0302)  2 Pb 2.30-2.44, 2 Pm 2.36-2.46
O (0.7246, 0.9122, 0.5302)  2 Pb 2.30-2.44, 2 Pm 2.36-2.46
O (0.9511, 0.1554, 0.8696)  3 Pm 2.29-2.52, 1 Pb 2.52
O (0.9511, 0.3446, 0.3696)  3 Pm 2.29-2.52, 1 Pb 2.52

***

# 10
DFT (PBE-GGA) results for crystalline AcTeF at its relaxed geometry.

Computed properties:
Mass density ... 7.6 g/cm3
Final energy ... -5.259 eV/atom
Energy relative to the lowest polymorph listed for this composition ... 0.5854 eV/atom
ΔE_f (raw) ... -2.219 eV/atom

Unit cell a=3.9025 b=3.9025 c=10.7319 alpha=90.00 beta=90.00 gamma=90.00
Closest atoms and distances in Å follow each position.
Fractional coordinates of all 6 atoms:
Ac (0.0000, 0.0000, 0.0000)  4 F 2.92
Ac (0.5000, 0.5000, 0.5000)  4 F 2.92
Te (0.0000, 0.0000, 0.3161)  1 F 2.92
Te (0.5000, 0.5000, 0.8161)  1 F 2.92
F (0.0000, 0.0000, 0.5884)  4 Ac 2.92, 1 Te 2.92
F (0.5000, 0.5000, 0.0884)  4 Ac 2.92, 1 Te 2.92